Entry 1:
Material: ZnReRu2
Method: DFT, GGA-PBEsol
State: relaxed

crystal system: orthorhombic
uncorrected energy: -8.7373 eV per atom

abc: 2.733 3.694 5.384
angles: 90.00 90.00 90.00
Fractional positions:
1 Zn 0.500 0.500 0.000
2 Ru 0.000 0.000 0.752
3 Ru 0.000 0.000 0.248
4 Re 0.500 0.500 0.500


Entry 2:
Material: ZnReRu2
Method: DFT, GGA-PBEsol
State: relaxed

crystal system: tetragonal
uncorrected energy: -8.6010 eV per atom

abc: 2.941 4.318 4.318
angles: 90.00 90.00 90.00
Fractional positions:
1 Zn 0.500 0.500 0.500
2 Re 0.500 0.000 0.000
3 Ru 0.000 0.500 0.000
4 Ru 0.000 0.000 0.500


no.,DOS at the Fermi energy (states/eV per cell),DFT formation energy (eV per atom),ρ (g/cm³)
1,3.56,0.077,13.863
2,2.66,0.214,13.741